Record 1
A relaxed structure of SrLaDy2. Source: Alexandria, functional PBE-GGA.

Lattice parameters (Å, degrees): 12.4735 12.4735 12.4735 17.15 17.15 17.15
With the nearest neighbours (Å) after each atom.
Element x y z (fractional)
Sr 0.0000 0.0000 0.0000  6 Sr 3.72, 6 Dy 3.91
La 0.5000 0.5000 0.5000  6 Dy 3.59, 6 La 3.72
Dy 0.2447 0.2447 0.2447  3 La 3.59, 6 Dy 3.72, 3 Sr 3.91
Dy 0.7553 0.7553 0.7553  3 La 3.59, 6 Dy 3.72, 3 Sr 3.91

- Total magnetic moment: 0.00 μB/atom
- Formation energy: 0.13 eV per atom

=====

Record 2
A relaxed structure of SrLa2Dy. Source: Alexandria, functional PBE-GGA.

Lattice parameters (Å, degrees): 5.3867 5.3867 5.2981 90.00 90.00 90.00
With the nearest neighbours (Å) after each atom.
Element x y z (fractional)
Sr 0.0000 0.0000 0.0000  8 La 3.78, 4 Dy 3.81
La 0.0000 0.5000 0.5000  4 Dy 3.78, 4 Sr 3.78, 4 La 3.81
La 0.5000 0.0000 0.5000  4 Dy 3.78, 4 Sr 3.78, 4 La 3.81
Dy 0.5000 0.5000 0.0000  8 La 3.78, 4 Sr 3.81

- Total magnetic moment: 0.00 μB/atom
- Formation energy: 0.17 eV per atom

=====

Record 3
A relaxed structure of SrLaDy2. Source: Alexandria, functional PBE-GGA.

Lattice parameters (Å, degrees): 12.4202 12.4202 12.4202 17.23 17.23 17.23
With the nearest neighbours (Å) after each atom.
Element x y z (fractional)
Sr 0.0000 0.0000 0.0000  6 Sr 3.72, 6 Dy 3.87-3.90
La 0.8344 0.8344 0.8344  6 Dy 3.58-3.61, 6 La 3.72
Dy 0.2456 0.2456 0.2456  3 La 3.58, 6 Dy 3.72, 3 Sr 3.87
Dy 0.4220 0.4220 0.4220  3 La 3.61, 6 Dy 3.72, 3 Sr 3.90

- Total magnetic moment: 0.00 μB/atom
- Formation energy: 0.12 eV per atom

=====

Record 4
A relaxed structure of SrLa2Dy. Source: Alexandria, functional PBE-GGA.

Lattice parameters (Å, degrees): 13.3927 13.3927 13.3927 15.90 15.90 15.90
With the nearest neighbours (Å) after each atom.
Element x y z (fractional)
Sr 0.0000 0.0000 0.0000  2 La 3.70, 6 Sr 3.71
La 0.0933 0.0933 0.0933  3 Dy 3.61, 1 Sr 3.70, 6 La 3.71
La 0.9067 0.9067 0.9067  3 Dy 3.61, 1 Sr 3.70, 6 La 3.71
Dy 0.5000 0.5000 0.5000  6 La 3.61, 6 Dy 3.71

- Total magnetic moment: 0.00 μB/atom
- Formation energy: 0.17 eV per atom